# 1
Material: HgSb4
Method: DFT, PBE
State: relaxed

Structure (POSCAR):
```
HgSb4
1.0
-4.890 -2.006 1.583
0.288 -3.829 -3.963
2.539 -3.430 3.498
Sb Hg
4 1
Cartesian
0.000 0.000 0.000
1.414 -3.629 -0.233
-1.175 -2.718 2.541
-2.301 -2.917 -1.190
-1.032 -4.632 0.559
```

Results
**Space group**: Pm-3m, No. 221
**Fermi-level density of states**: 1.093 states/eV/atom
**Crystal system**: cubic
**ΔE_f (raw)**: 833.8 meV/atom
**E above lowest polymorph**: 769 meV/atom

# 2
Material: SiNi3B
Method: DFT, PBE
State: relaxed

Structure (POSCAR):
```
SiNi3B
1.0
-1.365 -3.404 -0.937
3.493 -1.156 -0.887
0.512 -1.185 3.558
Ni B Si
3 1 1
Cartesian
1.747 -0.578 -0.444
-0.682 -1.702 -0.469
0.256 -0.592 1.779
0.000 0.000 0.000
1.320 -2.872 0.867
```

Results
**Space group**: Pm-3m, No. 221
**Fermi-level density of states**: 0.559 states/eV/atom
**Crystal system**: cubic
**ΔE_f (raw)**: -82.0 meV/atom
**E above lowest polymorph**: 295 meV/atom

# 3
Material: SeIN3
Method: DFT, PBE
State: relaxed

Structure (POSCAR):
```
SeIN3
1.0
4.013 0.000 0.000
0.000 4.013 0.000
0.000 0.000 4.013
I N Se
1 3 1
Cartesian
0.000 0.000 0.000
0.000 2.006 0.000
0.000 0.000 2.006
2.006 0.000 0.000
2.006 2.006 2.006
```

Results
**Space group**: Pm-3m, No. 221
**Fermi-level density of states**: 0.770 states/eV/atom
**Crystal system**: cubic
**ΔE_f (raw)**: 2556.9 meV/atom

# 4
Material: PmHo12Tm7
Method: DFT, PBE
State: relaxed

Structure (POSCAR):
```
PmHo12Tm7
1.0
6.359 0.000 1.840
-3.601 9.234 4.508
-0.844 0.000 10.855
Ho Tm Pm
12 7 1
Cartesian
2.767 4.216 4.032
2.469 4.797 9.628
-0.853 5.017 13.170
4.232 0.580 6.907
1.429 1.969 7.980
4.090 5.310 6.724
-2.176 3.924 10.479
0.484 7.264 9.223
-0.555 4.437 7.574
-2.319 8.653 10.296
0.384 1.954 3.653
1.529 7.279 13.550
-2.398 7.663 7.306
0.963 2.824 11.569
3.796 1.253 3.739
4.312 1.570 9.897
3.179 0.000 0.920
-1.883 7.980 13.463
0.951 6.410 5.634
0.000 0.000 0.000
```

Results
**Space group**: R-3, No. 148
**Fermi-level density of states**: 1.289 states/eV/atom
**Crystal system**: trigonal
**Formation energy**: 0.34 eV per atom
**E above lowest polymorph**: 97 meV/atom

# 5
Material: Pr4SiRh3
Method: DFT, PBE
State: relaxed

Structure (POSCAR):
```
Pr4SiRh3
1.0
-1.754 3.163 2.063
-3.198 0.029 -2.763
-5.478 -7.125 6.264
Si Pr Rh
1 4 3
Cartesian
-2.830 1.135 0.055
-4.386 -2.982 5.044
-4.458 -0.982 1.916
-0.785 -1.021 0.898
-6.288 -6.085 3.981
-5.999 -5.081 6.890
-4.806 -4.157 2.286
-2.262 -2.942 2.587
```

Results
**Space group**: Pmm2, No. 25
**Fermi-level density of states**: 0.733 states/eV/atom
**Crystal system**: orthorhombic
**ΔE_f (raw)**: -682.4 meV/atom

# 6
Material: Na2Li2TlSb2
Method: DFT, PBE
State: relaxed

Structure (POSCAR):
```
Na2Li2TlSb2
1.0
4.932 0.000 0.000
2.466 4.271 0.000
2.466 1.424 8.605
Sb Na Tl Li
2 2 1 2
Cartesian
7.397 4.271 6.660
2.466 1.424 1.945
7.397 4.271 3.374
2.466 1.424 5.231
0.000 0.000 0.000
4.932 2.847 7.490
4.932 2.847 1.115
```

Results
**Space group**: R-3m, No. 166
**Fermi-level density of states**: 0.626 states/eV/atom
**Crystal system**: trigonal
**ΔE_f (raw)**: -363.2 meV/atom

# 7
Material: Tb4PmTh5
Method: DFT, PBE
State: relaxed

Structure (POSCAR):
```
Tb4PmTh5
1.0
-2.237 -2.415 -1.312
6.091 -2.941 -4.971
4.428 -6.128 8.511
Tb Th Pm
4 5 1
Cartesian
2.190 -4.742 4.993
2.214 -2.142 0.167
6.067 -9.342 2.060
6.091 -6.742 -2.765
3.427 -7.832 3.784
3.618 -4.471 2.060
1.927 -2.678 -3.142
4.664 -7.013 0.168
4.854 -3.652 -1.556
-1.119 -1.207 -0.656
```

Results
**Space group**: C2/m, No. 12
**Fermi-level density of states**: 1.514 states/eV/atom
**Crystal system**: monoclinic
**Formation energy**: 0.21 eV per atom

# 8
Material: MgAl2Os
Method: DFT, PBE
State: relaxed

Structure (POSCAR):
```
MgAl2Os
1.0
-4.222 -0.579 2.594
-0.795 -4.748 1.309
3.370 3.645 0.495
Os Mg Al
1 1 2
Cartesian
0.034 -1.883 1.878
-1.680 0.201 2.520
-2.445 -2.597 1.903
-0.063 -0.067 0.049
```

Results
**Space group**: Immm, No. 71
**Fermi-level density of states**: 0.353 states/eV/atom
**Crystal system**: orthorhombic
**Formation energy**: -0.16 eV per atom
**E above lowest polymorph**: 80 meV/atom

Q: Which of these has the lowest Fermi-level density of states?
A: MgAl2Os

Copy entry 3 word for word.
Material: SeIN3
Method: DFT, PBE
State: relaxed

Structure (POSCAR):
```
SeIN3
1.0
4.013 0.000 0.000
0.000 4.013 0.000
0.000 0.000 4.013
I N Se
1 3 1
Cartesian
0.000 0.000 0.000
0.000 2.006 0.000
0.000 0.000 2.006
2.006 0.000 0.000
2.006 2.006 2.006
```

Results
**Space group**: Pm-3m, No. 221
**Fermi-level density of states**: 0.770 states/eV/atom
**Crystal system**: cubic
**ΔE_f (raw)**: 2556.9 meV/atom

Q: Which formula does entry 1 have?
A: HgSb4